# GGA+U Mn3Zn2AsO12, optimized geometry
data_Mn3Zn2AsO12
_chemical_formula_sum 'Mn6 Zn4 As2 O24'
_symmetry_space_group_name_H-M 'C 1 m 1'
_symmetry_Int_Tables_number 8
_symmetry_space_group_name_Hall 'C -2y'
_cell_length_a 24.075
_cell_length_b 2.990
_cell_length_c 7.784
_cell_angle_alpha 90.00
_cell_angle_beta 94.77
_cell_angle_gamma 90.00
loop_
_atom_site_label
_atom_site_type_symbol
_atom_site_fract_x
_atom_site_fract_y
_atom_site_fract_z
_atom_site_occupancy
Mn1 Mn 0.000 0.000 0.000 1
Mn2 Mn 0.085 0.500 0.218 1
Mn3 Mn 0.171 0.000 0.513 1
Zn1 Zn 0.296 0.500 0.623 1
Zn2 Zn 0.419 0.000 0.765 1
As1 As 0.188 0.000 0.988 1
O1 O 0.038 0.000 0.245 1
O2 O 0.055 0.500 0.987 1
O3 O 0.122 0.500 0.451 1
O4 O 0.148 0.000 0.160 1
O5 O 0.161 0.000 0.787 1
O6 O 0.225 0.500 0.526 1
O7 O 0.232 0.500 0.026 1
O8 O 0.341 0.000 0.317 1
O9 O 0.365 0.500 0.720 1
O10 O 0.393 0.000 0.331 1
O11 O 0.452 0.000 0.036 1
O12 O 0.474 0.500 0.768 1
# spin magnetization	12.23	μB/f.u.
# calculated total energy	-5.97	eV per atom
# DOS(E_F)	5.55	states/eV/cell